# Zr2TlW | Alexandria via LeMat-Bulk | PBE-GGA | relaxed
data_Zr2TlW
_cell_length_a 2.9675
_cell_length_b 2.9675
_cell_length_c 9.5841
_cell_angle_alpha 90.00
_cell_angle_beta 90.00
_cell_angle_gamma 90.00
_space_group_name_H-M_alt 'P 4 m m'
_space_group_IT_number 99
_space_group_name_Hall 'P 4 -2'
loop_
_atom_site_label
_atom_site_type_symbol
_atom_site_fract_x
_atom_site_fract_y
_atom_site_fract_z
Zr1 Zr 0.0000 0.0000 0.0000
Zr2 Zr 0.5000 0.5000 0.2616
Tl1 Tl 0.0000 0.0000 0.5215
W1 W 0.5000 0.5000 0.7584
# - Calculated volume: 21.10 A^3/atom
# - ρ: 11.23 Mg/m³
# - Density of states at the Fermi level: 4.380 states/eV/f.u.
# - Energy of formation: 1.764 eV/f.u.

# K2MgNi | Alexandria via LeMat-Bulk | PBE-GGA | relaxed
data_K2MgNi
_cell_length_a 3.4668
_cell_length_b 3.4668
_cell_length_c 34.9760
_cell_angle_alpha 90.00
_cell_angle_beta 90.00
_cell_angle_gamma 120.00
_space_group_name_H-M_alt 'R -3 m'
_space_group_IT_number 166
_space_group_name_Hall '-R 3 2"'
loop_
_atom_site_label
_atom_site_type_symbol
_atom_site_fract_x
_atom_site_fract_y
_atom_site_fract_z
K1 K 0.0000 0.0000 0.2367
Mg1 Mg 0.0000 0.0000 0.0000
Ni1 Ni 0.0000 0.0000 0.5000
# - Calculated volume: 30.34 A^3/atom
# - ρ: 2.21 Mg/m³
# - Density of states at the Fermi level: 1.711 states/eV/f.u.
# - Energy of formation: 2.770 eV/f.u.

# Fe2Tc2Os | Alexandria via LeMat-Bulk | PBE-GGA | relaxed
data_Fe2Tc2Os
_cell_length_a 6.8811
_cell_length_b 6.8811
_cell_length_c 2.7331
_cell_angle_alpha 90.00
_cell_angle_beta 90.00
_cell_angle_gamma 90.00
_space_group_name_H-M_alt 'P 4/m b m'
_space_group_IT_number 127
_space_group_name_Hall '-P 4 2ab'
loop_
_atom_site_label
_atom_site_type_symbol
_atom_site_fract_x
_atom_site_fract_y
_atom_site_fract_z
Fe1 Fe 0.1225 0.3775 0.0000
Tc1 Tc 0.1744 0.6744 0.5000
Os1 Os 0.0000 0.0000 0.0000
# - Calculated volume: 12.94 A^3/atom
# - ρ: 12.78 Mg/m³
# - Density of states at the Fermi level: 3.494 states/eV/f.u.
# - Energy of formation: 0.831 eV/f.u.

# YTe | Alexandria via LeMat-Bulk | PBE-GGA | relaxed
data_YTe
_cell_length_a 4.3269
_cell_length_b 4.3269
_cell_length_c 9.3673
_cell_angle_alpha 90.00
_cell_angle_beta 90.00
_cell_angle_gamma 120.00
_space_group_name_H-M_alt 'P 63 m c'
_space_group_IT_number 186
_space_group_name_Hall 'P 6c -2c'
loop_
_atom_site_label
_atom_site_type_symbol
_atom_site_fract_x
_atom_site_fract_y
_atom_site_fract_z
Y1 Y 0.3333 0.6667 0.0000
Te1 Te 0.3333 0.6667 0.3191
# - Calculated volume: 37.97 A^3/atom
# - E_tot: -5.679 eV/atom
# - ρ: 4.73 Mg/m³
# - Density of states at the Fermi level: 0.840 states/eV/f.u.